The following is a PBE calculation of a relaxed Cr2Si2Mo crystal, from the Alexandria database.

Unit cell a=6.540 b=6.540 c=2.997 alpha=90.00 beta=90.00 gamma=90.00
Fractional positions:
Cr 0.158 0.342 0.000
Cr 0.342 0.842 0.000
Cr 0.658 0.158 0.000
Cr 0.842 0.658 0.000
Si 0.134 0.634 0.500
Si 0.366 0.134 0.500
Si 0.634 0.866 0.500
Si 0.866 0.366 0.500
Mo 0.000 0.000 0.500
Mo 0.500 0.500 0.500

Calculated values
Electronic total energy   -8.363 eV/atom
SG   P4/mbm (127)

The following is a PBE calculation of a relaxed Zr2NbSb crystal, from the Alexandria database.

Unit cell a=9.164 b=9.164 c=9.164 alpha=21.38 beta=21.38 gamma=21.38
Fractional positions:
Zr 0.248 0.248 0.248
Zr 0.752 0.752 0.752
Nb 0.500 0.500 0.500
Sb 0.000 0.000 0.000

Calculated values
Electronic total energy   -7.868 eV/atom
SG   R-3m (166)

The following is a PBE calculation of a relaxed ThTe2Rh crystal, from the Alexandria database.

Unit cell a=9.086 b=9.086 c=9.086 alpha=28.50 beta=28.50 gamma=28.50
Fractional positions:
Th 0.000 0.000 0.000
Te 0.402 0.402 0.402
Te 0.598 0.598 0.598
Rh 0.500 0.500 0.500

Calculated values
Distance to the lowest polymorph of the same formula   2.71 eV per formula unit
Electronic total energy   -5.412 eV/atom
SG   R-3m (166)

The following is a PBE calculation of a relaxed Mg2AlTcPt crystal, from the Alexandria database.

Unit cell a=4.857 b=4.857 c=4.887 alpha=90.00 beta=90.00 gamma=90.00
Fractional positions:
Mg 0.000 0.500 0.000
Mg 0.500 0.000 0.000
Al 0.000 0.000 0.500
Tc 0.500 0.500 0.500
Pt 0.500 0.500 0.000

Calculated values
Electronic total energy   -4.109 eV/atom
SG   P4/mmm (123)

The following is a PBE calculation of a relaxed SiBi2SbN crystal, from the Alexandria database.

Unit cell a=5.975 b=5.975 c=3.909 alpha=90.00 beta=90.00 gamma=90.00
Fractional positions:
Si 0.000 0.000 0.000
Bi 0.000 0.500 0.500
Bi 0.500 0.000 0.500
Sb 0.500 0.500 0.500
N 0.500 0.500 0.000

Calculated values
Electronic total energy   -3.969 eV/atom
SG   P4/mmm (123)

The following is a PBE calculation of a relaxed HoTmZrSc crystal, from the Alexandria database.

Unit cell a=5.335 b=5.335 c=5.335 alpha=60.00 beta=60.00 gamma=60.00
Fractional positions:
Ho 0.000 0.000 0.000
Tm 0.250 0.250 0.250
Zr 0.500 0.500 0.500
Sc 0.750 0.750 0.750

Calculated values
Distance to the lowest polymorph of the same formula   0.46 eV per formula unit
Electronic total energy   -5.799 eV/atom
SG   F-43m (216)